[1]
The following is a DFT calculation (PBEsol) of SnAsPAu2 after structural relaxation.

Lattice parameters (Å, degrees): 5.0464 5.0277 5.0277 90.00 90.00 90.00
Closest atoms and distances in Å follow each position.
Positions (direct):
P 0.5000 0.0000 0.0000  2 Sn 2.52
As 0.5000 0.5000 0.5000  4 P 3.56, 8 Au 3.56
Au 0.0000 0.0000 0.5000  2 Sn 2.51
Au 0.0000 0.5000 0.0000  2 Sn 2.51
Sn 0.0000 0.0000 0.0000  4 Au 2.51, 2 P 2.52

Calculated values
The value obtained for the energy relative to the elements is 1.116 eV/atom. The total energy is -3.48 eV per atom.

[2]
The following is a DFT calculation (PBEsol) of As4PbAu after structural relaxation.

Lattice parameters (Å, degrees): 5.6109 5.6109 5.6109 60.00 60.00 60.00
Closest atoms and distances in Å follow each position.
Positions (direct):
Pb 0.0000 0.0000 0.0000  12 As 3.30, 4 Au 3.44
As 0.3785 0.3785 0.3785  6 As 2.73-2.88
As 0.3785 0.3785 0.8644  6 As 2.73-2.88
As 0.8644 0.3785 0.3785  6 As 2.73-2.88
As 0.3785 0.8644 0.3785  6 As 2.73-2.88
Au 0.7500 0.7500 0.7500  12 As 3.28, 4 Pb 3.44

Calculated values
The value obtained for the energy relative to the elements is 0.355 eV/atom. The total energy is -4.37 eV per atom.

[3]
The following is a DFT calculation (PBEsol) of SbAsPbAu2 after structural relaxation.

Lattice parameters (Å, degrees): 4.7853 4.7853 5.7155 90.00 90.00 90.00
Closest atoms and distances in Å follow each position.
Positions (direct):
Pb 0.0000 0.0000 0.5000  2 As 2.86
Sb 0.5000 0.5000 0.5000  4 Pb 3.38, 8 Au 3.73
As 0.0000 0.0000 0.0000  4 Au 2.39
Au 0.0000 0.5000 0.0000  2 As 2.39
Au 0.5000 0.0000 0.0000  2 As 2.39

Calculated values
The calculation puts the uncorrected formation energy at 213.0 kJ/mol of formula units. The total energy is -3.86 eV per atom.

[4]
The following is a DFT calculation (PBEsol) of AsPbAuSe2 after structural relaxation.

Lattice parameters (Å, degrees): 4.8423 5.1289 5.1289 90.00 90.00 90.00
Closest atoms and distances in Å follow each position.
Positions (direct):
Pb 0.5000 0.5000 0.5000  8 Se 3.53, 4 As 3.63
As 0.5000 0.0000 0.0000  2 Au 2.42
Au 0.0000 0.0000 0.0000  2 As 2.42, 4 Se 2.56
Se 0.0000 0.0000 0.5000  2 Au 2.56
Se 0.0000 0.5000 0.0000  2 Au 2.56

Calculated values
The calculation puts the uncorrected formation energy at 165.8 kJ/mol of formula units. The total energy is -3.80 eV per atom.

Please write out number 4 again, unchanged.
The following is a DFT calculation (PBEsol) of AsPbAuSe2 after structural relaxation.

Lattice parameters (Å, degrees): 4.8423 5.1289 5.1289 90.00 90.00 90.00
Closest atoms and distances in Å follow each position.
Positions (direct):
Pb 0.5000 0.5000 0.5000  8 Se 3.53, 4 As 3.63
As 0.5000 0.0000 0.0000  2 Au 2.42
Au 0.0000 0.0000 0.0000  2 As 2.42, 4 Se 2.56
Se 0.0000 0.0000 0.5000  2 Au 2.56
Se 0.0000 0.5000 0.0000  2 Au 2.56

Calculated values
The calculation puts the uncorrected formation energy at 165.8 kJ/mol of formula units. The total energy is -3.80 eV per atom.